[1]
# AsRhBr2Cl | the Alexandria database | GGA-PBE | relaxed
# Magnetic moment in μB per atom: 0.00
# Fermi-level density of states in states/eV/f.u.: 5.6
# Final energy in Ha/atom: -0.118
# ΔE_f (raw) in eV per atom: 0.226
# Polymorph energy (0 for the lowest one) in meV per atom: 0.0
data_AsRhBr2Cl
_cell_length_a 5.1096
_cell_length_b 5.1096
_cell_length_c 4.7568
_cell_angle_alpha 90.00
_cell_angle_beta 90.00
_cell_angle_gamma 90.00
_symmetry_space_group_name_H-M 'P 4/m m m'
_symmetry_Int_Tables_number 123
_symmetry_space_group_name_Hall '-P 4 2'
loop_
_atom_site_label
_atom_site_fract_x
_atom_site_fract_y
_atom_site_fract_z
As1 0.0000 0.0000 0.0000
Rh1 0.0000 0.0000 0.5000
Br1 0.0000 0.5000 0.5000
Cl1 0.5000 0.5000 0.0000



[2]
# K5Cr2H12 | the Alexandria database | GGA-PBE | relaxed
# Magnetic moment in μB per atom: 0.26
# Fermi-level density of states in states/eV/f.u.: 1.9
# Final energy in Ha/atom: -0.128
data_K5Cr2H12
_cell_length_a 12.0731
_cell_length_b 6.7256
_cell_length_c 6.3363
_cell_angle_alpha 90.00
_cell_angle_beta 105.86
_cell_angle_gamma 90.00
_symmetry_space_group_name_H-M 'C 1 2/m 1'
_symmetry_Int_Tables_number 12
_symmetry_space_group_name_Hall '-C 2y'
loop_
_atom_site_label
_atom_site_fract_x
_atom_site_fract_y
_atom_site_fract_z
K1 0.0000 0.0000 0.0000
K2 0.1438 0.5000 0.0000
K3 0.2436 0.0000 0.4640
Cr1 0.0000 0.2507 0.5000
H1 0.0304 0.0000 0.4131
H2 0.0563 0.5000 0.5905
H3 0.0747 0.2839 0.2986
H4 0.1320 0.2146 0.7082



[3]
# Dy3Tm2Au2 | the Alexandria database | GGA-PBE | relaxed
# Energy of formation in meV/atom: -497.2
# Magnetic moment in μB per atom: 0.00
# Fermi-level density of states in states/eV/f.u.: 9.5
# Final energy in Ha/atom: -0.172
data_Dy3Tm2Au2
_cell_length_a 12.6003
_cell_length_b 3.6892
_cell_length_c 9.0816
_cell_angle_alpha 90.00
_cell_angle_beta 115.25
_cell_angle_gamma 90.00
_symmetry_space_group_name_H-M 'C 1 2/m 1'
_symmetry_Int_Tables_number 12
_symmetry_space_group_name_Hall '-C 2y'
loop_
_atom_site_label
_atom_site_fract_x
_atom_site_fract_y
_atom_site_fract_z
Dy1 0.0000 0.0000 0.0000
Dy2 0.1130 0.0000 0.4433
Tm1 0.1514 0.5000 0.8124
Au1 0.1748 0.5000 0.2259



[4]
# Nd4NiPd3 | the Alexandria database | GGA-PBE | relaxed
# Energy of formation in meV/atom: -679.4
# Magnetic moment in μB per atom: 0.00
# Fermi-level density of states in states/eV/f.u.: 4.2
# Final energy in Ha/atom: -0.211
data_Nd4NiPd3
_cell_length_a 3.8740
_cell_length_b 4.5987
_cell_length_c 10.8160
_cell_angle_alpha 90.00
_cell_angle_beta 90.00
_cell_angle_gamma 90.00
_symmetry_space_group_name_H-M 'P m m 2'
_symmetry_Int_Tables_number 25
_symmetry_space_group_name_Hall 'P 2 -2'
loop_
_atom_site_label
_atom_site_fract_x
_atom_site_fract_y
_atom_site_fract_z
Nd1 0.0000 0.0000 0.0000
Nd2 0.0000 0.5000 0.2672
Nd3 0.5000 0.0000 0.4866
Nd4 0.5000 0.5000 0.7686
Ni1 0.5000 0.0000 0.2119
Pd1 0.0000 0.0000 0.7163
Pd2 0.0000 0.5000 0.5456
Pd3 0.5000 0.5000 0.0519



[5]
# Dy2NiH | the Alexandria database | GGA-PBE | relaxed
# Magnetic moment in μB per atom: 0.00
# Fermi-level density of states in states/eV/f.u.: 3.0
# Final energy in Ha/atom: -0.172
# Polymorph energy (0 for the lowest one) in meV per atom: 203.7
data_Dy2NiH
_cell_length_a 3.2292
_cell_length_b 3.2292
_cell_length_c 6.8531
_cell_angle_alpha 90.00
_cell_angle_beta 90.00
_cell_angle_gamma 90.00
_symmetry_space_group_name_H-M 'P 4/m m m'
_symmetry_Int_Tables_number 123
_symmetry_space_group_name_Hall '-P 4 2'
loop_
_atom_site_label
_atom_site_fract_x
_atom_site_fract_y
_atom_site_fract_z
Dy1 0.0000 0.0000 0.2504
Ni1 0.5000 0.5000 0.0000
H1 0.5000 0.5000 0.5000



[6]
# Gd3HoRh | the Alexandria database | GGA-PBE | relaxed
# Energy of formation in meV/atom: -187.8
# Magnetic moment in μB per atom: 4.50
# Fermi-level density of states in states/eV/f.u.: 7.8
# Final energy in Ha/atom: -0.405
data_Gd3HoRh
_cell_length_a 5.4452
_cell_length_b 5.4452
_cell_length_c 5.4452
_cell_angle_alpha 90.00
_cell_angle_beta 90.00
_cell_angle_gamma 90.00
_symmetry_space_group_name_H-M 'P m -3 m'
_symmetry_Int_Tables_number 221
_symmetry_space_group_name_Hall '-P 4 2 3'
loop_
_atom_site_label
_atom_site_fract_x
_atom_site_fract_y
_atom_site_fract_z
Gd1 0.0000 0.0000 0.5000
Ho1 0.5000 0.5000 0.5000
Rh1 0.0000 0.0000 0.0000



[7]
# Hf2BSb | the Alexandria database | GGA-PBE | relaxed
# Magnetic moment in μB per atom: 0.00
# Fermi-level density of states in states/eV/f.u.: 1.7
# Final energy in Ha/atom: -0.304
# ΔE_f (raw) in eV per atom: -0.585
# Polymorph energy (0 for the lowest one) in meV per atom: 0.0
data_Hf2BSb
_cell_length_a 3.5189
_cell_length_b 3.5189
_cell_length_c 20.9678
_cell_angle_alpha 90.00
_cell_angle_beta 90.00
_cell_angle_gamma 120.00
_symmetry_space_group_name_H-M 'R -3 m'
_symmetry_Int_Tables_number 166
_symmetry_space_group_name_Hall '-R 3 2"'
loop_
_atom_site_label
_atom_site_fract_x
_atom_site_fract_y
_atom_site_fract_z
Hf1 0.0000 0.0000 0.2258
B1 0.0000 0.0000 0.5000
Sb1 0.0000 0.0000 0.0000



[8]
# Cs2Na2Zn | the Alexandria database | GGA-PBE | relaxed
# Energy of formation in meV/atom: 143.9
# Magnetic moment in μB per atom: 0.03
# Fermi-level density of states in states/eV/f.u.: 4.8
# Final energy in Ha/atom: -0.036
# Polymorph energy (0 for the lowest one) in meV per atom: 0.0
data_Cs2Na2Zn
_cell_length_a 4.8025
_cell_length_b 4.8025
_cell_length_c 24.5032
_cell_angle_alpha 90.00
_cell_angle_beta 90.00
_cell_angle_gamma 90.00
_symmetry_space_group_name_H-M 'I 4/m m m'
_symmetry_Int_Tables_number 139
_symmetry_space_group_name_Hall '-I 4 2'
loop_
_atom_site_label
_atom_site_fract_x
_atom_site_fract_y
_atom_site_fract_z
Cs1 0.0000 0.0000 0.0930
Na1 0.0000 0.5000 0.2500
Zn1 0.0000 0.0000 0.5000



The highest magnetic moment belongs to which entry?
Gd3HoRh